# 1
Compound: Tb3Pm6Pr2Mg
Source: Alexandria via LeMat-Bulk
Functional: PBE
Structure: relaxed

abc: 6.2507 6.2507 11.9345
angles: 95.03 95.03 120.02
Sites, in units of the cell vectors:
Tb  0.0000  0.0000  0.0000
Tb  0.3340  0.6660  0.0000
Tb  0.6660  0.3340  0.0000
Pm  0.0864  0.4168  0.2480
Pm  0.2527  0.2527  0.7530
Pm  0.4168  0.0864  0.2480
Pm  0.5832  0.9136  0.7520
Pm  0.7473  0.7473  0.2470
Pm  0.9136  0.5832  0.7520
Pr  0.1671  0.8329  0.5000
Pr  0.8329  0.1671  0.5000
Mg  0.5000  0.5000  0.5000

Output
As for the uncorrected energy: -4.45 eV per atom. The calculation puts the total magnetization at 0.00 μB/atom. As for the energy of formation: 11 meV/atom. The crystal system is monoclinic. The space group is C2/m (12).

# 2
Compound: Re2IF2
Source: Alexandria via LeMat-Bulk
Functional: PBE
Structure: relaxed

abc: 5.6266 5.6266 5.6266
angles: 138.76 138.76 59.74
Sites, in units of the cell vectors:
Re  0.2500  0.7500  0.5000
Re  0.7500  0.2500  0.5000
I  0.0000  0.0000  0.0000
F  0.3785  0.3785  0.0000
F  0.6215  0.6215  0.0000

Output
As for the uncorrected energy: -5.41 eV per atom. The calculation puts the total magnetization at 0.00 μB/atom. For the energy above the most stable polymorph in this dataset, the calculation gives 0.4744 eV/atom. For the energy relative to the elements, uncorrected, the calculation gives 0.631 eV per atom. The crystal system is tetragonal. The space group is I4/mmm (139).

# 3
Compound: PrEr3Al2
Source: Alexandria via LeMat-Bulk
Functional: PBE
Structure: relaxed

abc: 8.3389 8.3389 8.9245
angles: 116.92 116.92 36.54
Sites, in units of the cell vectors:
Pr  0.1319  0.1319  0.1821
Pr  0.8681  0.8681  0.8179
Er  0.0623  0.0623  0.7156
Er  0.3123  0.3123  0.0103
Er  0.3833  0.3833  0.4700
Er  0.6167  0.6167  0.5300
Er  0.6877  0.6877  0.9897
Er  0.9377  0.9377  0.2844
Al  0.2300  0.2300  0.6021
Al  0.4805  0.4805  0.8425
Al  0.5195  0.5195  0.1575
Al  0.7700  0.7700  0.3979

Output
As for the uncorrected energy: -4.51 eV per atom. The calculation puts the total magnetization at 0.03 μB/atom. For the energy above the most stable polymorph in this dataset, the calculation gives 0.0746 eV/atom. As for the energy of formation: -185 meV/atom. The crystal system is monoclinic. The space group is C2/m (12).

# 4
Compound: Co2HgOs
Source: Alexandria via LeMat-Bulk
Functional: PBE
Structure: relaxed

abc: 5.2959 5.2959 5.2959
angles: 149.96 129.57 59.82
Sites, in units of the cell vectors:
Co  0.0000  0.0000  0.0000
Co  0.7808  0.2808  0.5000
Hg  0.5145  0.5145  0.0000
Os  0.2319  0.7319  0.5000

Output
As for the uncorrected energy: -5.85 eV per atom. The calculation puts the total magnetization at 0.82 μB/atom. As for the energy of formation: 585 meV/atom. The crystal system is orthorhombic. The space group is Imm2 (44).

# 5
Compound: InSi4Cl
Source: Alexandria via LeMat-Bulk
Functional: PBE
Structure: relaxed

abc: 5.3850 5.3850 5.3850
angles: 60.00 60.00 60.00
Sites, in units of the cell vectors:
In  0.0000  0.0000  0.0000
Si  0.1273  0.6242  0.6242
Si  0.6242  0.1273  0.6242
Si  0.6242  0.6242  0.1273
Si  0.6242  0.6242  0.6242
Cl  0.2500  0.2500  0.2500

Output
As for the uncorrected energy: -3.95 eV per atom. The calculation puts the total magnetization at 0.00 μB/atom. For the energy relative to the elements, uncorrected, the calculation gives 0.431 eV per atom. The crystal system is cubic. The space group is F-43m (216).

# 6
Compound: Cs2ScSnS4
Source: Alexandria via LeMat-Bulk
Functional: PBE
Structure: relaxed

abc: 14.5120 12.9186 8.1018
angles: 83.99 62.29 33.73
Sites, in units of the cell vectors:
Cs  0.0542  0.0542  0.6958
Cs  0.3042  0.3042  0.9458
Cs  0.6958  0.6958  0.0542
Cs  0.9458  0.9458  0.3042
Sc  0.1250  0.1250  0.1250
Sc  0.8750  0.8750  0.8750
Sn  0.3750  0.3750  0.3750
Sn  0.6250  0.6250  0.6250
S  0.0345  0.3172  0.4038
S  0.2555  0.5962  0.6828
S  0.3172  0.0345  0.7445
S  0.4038  0.7445  0.0345
S  0.5962  0.2555  0.9655
S  0.6828  0.9655  0.2555
S  0.7445  0.4038  0.3172
S  0.9655  0.6828  0.5962

Output
As for the uncorrected energy: -4.71 eV per atom. The calculation puts the total magnetization at 0.00 μB/atom. For the energy relative to the elements, uncorrected, the calculation gives -1.140 eV per atom. The crystal system is orthorhombic. The space group is Fddd (70).

# 7
Compound: Ta2ZnW
Source: Alexandria via LeMat-Bulk
Functional: PBE
Structure: relaxed

abc: 2.7515 4.5349 5.5100
angles: 90.00 100.49 90.00
Sites, in units of the cell vectors:
Ta  0.2442  0.0000  0.2559
Ta  0.7558  0.0000  0.7441
Zn  0.5000  0.5000  0.0000
W  0.0000  0.5000  0.5000

Output
As for the uncorrected energy: -9.37 eV per atom. The calculation puts the total magnetization at 0.00 μB/atom. As for the energy of formation: 109 meV/atom. The crystal system is monoclinic. The space group is P2/m (10).

# 8
Compound: SrLiMg
Source: Alexandria via LeMat-Bulk
Functional: PBE
Structure: relaxed

abc: 4.9555 6.4173 6.4674
angles: 89.98 67.67 89.99
Sites, in units of the cell vectors:
Sr  0.0000  0.0000  0.0000
Sr  0.4209  0.4999  0.1594
Li  0.1434  0.5003  0.7153
Li  0.2782  0.9999  0.4449
Mg  0.7120  0.2482  0.5787
Mg  0.7124  0.7480  0.5778

Output
As for the uncorrected energy: -1.77 eV per atom. The calculation puts the total magnetization at 0.00 μB/atom. For the energy above the most stable polymorph in this dataset, the calculation gives 0.0094 eV/atom. As for the energy of formation: -40 meV/atom. The crystal system is triclinic. The space group is P1 (1).

# 9
Compound: NpPa2TcC4
Source: Alexandria via LeMat-Bulk
Functional: PBE
Structure: relaxed

abc: 6.1772 6.1772 11.7810
angles: 90.00 90.00 147.57
Sites, in units of the cell vectors:
Np  0.1117  0.8883  0.7500
Np  0.8883  0.1117  0.2500
Pa  0.3673  0.6327  0.5491
Pa  0.3673  0.6327  0.9509
Pa  0.6327  0.3673  0.0491
Pa  0.6327  0.3673  0.4509
Tc  0.1469  0.8531  0.2500
Tc  0.8531  0.1469  0.7500
C  0.0000  0.0000  0.0000
C  0.0000  0.0000  0.5000
C  0.2747  0.7253  0.1307
C  0.2747  0.7253  0.3693
C  0.4614  0.5386  0.7500
C  0.5386  0.4614  0.2500
C  0.7253  0.2747  0.6307
C  0.7253  0.2747  0.8693

Output
As for the uncorrected energy: -9.93 eV per atom. The calculation puts the total magnetization at 0.32 μB/atom. As for the energy of formation: -32 meV/atom. The crystal system is orthorhombic. The space group is Cmcm (63).

# 10
Compound: NaPm2Hg8
Source: Alexandria via LeMat-Bulk
Functional: PBE
Structure: relaxed

abc: 8.4885 8.4885 7.2677
angles: 110.80 110.80 35.02
Sites, in units of the cell vectors:
Na  0.0000  0.0000  0.0000
Pm  0.2943  0.2943  0.3270
Pm  0.7057  0.7057  0.6730
Hg  0.1124  0.1124  0.4286
Hg  0.1548  0.1548  0.8798
Hg  0.3433  0.3433  0.8273
Hg  0.4865  0.4865  0.2776
Hg  0.5135  0.5135  0.7224
Hg  0.6567  0.6567  0.1727
Hg  0.8452  0.8452  0.1202
Hg  0.8876  0.8876  0.5714

Output
As for the uncorrected energy: -1.49 eV per atom. The calculation puts the total magnetization at 0.00 μB/atom. As for the energy of formation: -285 meV/atom. The crystal system is monoclinic. The space group is C2/m (12).

# 11
Compound: Cs2CuP
Source: Alexandria via LeMat-Bulk
Functional: PBE
Structure: relaxed

abc: 4.3061 6.4695 6.4695
angles: 53.94 90.00 90.00
Sites, in units of the cell vectors:
Cs  0.0000  0.0000  0.0000
Cs  0.5000  0.3132  0.3132
Cu  0.5000  0.6395  0.6395
P  0.0000  0.6820  0.6820

Output
As for the uncorrected energy: -3.05 eV per atom. The calculation puts the total magnetization at 0.00 μB/atom. As for the energy of formation: -242 meV/atom. The crystal system is orthorhombic. The space group is Amm2 (38).

# 12
Compound: Hg4Pt3
Source: Alexandria via LeMat-Bulk
Functional: PBE
Structure: relaxed

abc: 10.9432 10.9432 10.9432
angles: 161.36 161.36 26.48
Sites, in units of the cell vectors:
Hg  0.0700  0.0700  0.0000
Hg  0.3483  0.3483  0.0000
Hg  0.6517  0.6517  0.0000
Hg  0.9300  0.9300  0.0000
Pt  0.2140  0.2140  0.0000
Pt  0.5000  0.5000  0.0000
Pt  0.7860  0.7860  0.0000

Output
As for the uncorrected energy: -2.59 eV per atom. The calculation puts the total magnetization at 0.00 μB/atom. For the energy above the most stable polymorph in this dataset, the calculation gives 0.0565 eV/atom. As for the energy of formation: 176 meV/atom. The crystal system is tetragonal. The space group is I4/mmm (139).